Arrangement w

Here is La5Pr4Dy2 after structural relaxation from Alexandria via LeMat-Bulk. Energies are from PBE. Values from VASP.

The value obtained for the density of states at the Fermi level is 1.6157 states/eV/atom. As for the total magnetization: 0.00 μB/cell. As for the symmetry: C2/m, No. 12.

The structure in Quantum ESPRESSO input format:
```
&SYSTEM
  ibrav = 0, nat = 11, ntyp = 3
/
ATOMIC_SPECIES
La 138.91 La.upf
Pr 140.91 Pr.upf
Dy 162.50 Dy.upf
ATOMIC_POSITIONS crystal
La 0.000 0.000 0.000
La 0.318 0.318 0.525
La 0.369 0.369 0.952
La 0.631 0.631 0.048
La 0.682 0.682 0.475
Pr 0.227 0.227 0.825
Pr 0.460 0.460 0.653
Pr 0.540 0.540 0.347
Pr 0.773 0.773 0.175
Dy 0.087 0.087 0.697
Dy 0.913 0.913 0.303
CELL_PARAMETERS angstrom
12.383 -1.811 0.000
12.383 1.811 0.000
-0.707 0.000 8.903
```

=====

Arrangement x

Here is La5Pr4Dy2 after structural relaxation from Alexandria via LeMat-Bulk. Energies are from PBE. Values from VASP.

The value obtained for the density of states at the Fermi level is 1.6672 states/eV/atom. As for the total magnetization: 0.00 μB/cell. As for the symmetry: P2/m, No. 10.

The structure in Quantum ESPRESSO input format:
```
&SYSTEM
  ibrav = 0, nat = 11, ntyp = 3
/
ATOMIC_SPECIES
La 138.91 La.upf
Pr 140.91 Pr.upf
Dy 162.50 Dy.upf
ATOMIC_POSITIONS crystal
La 0.000 0.000 0.000
La 0.069 0.000 0.291
La 0.303 0.000 0.831
La 0.697 0.000 0.169
La 0.931 0.000 0.709
Pr 0.217 0.500 0.549
Pr 0.344 0.500 0.109
Pr 0.656 0.500 0.891
Pr 0.783 0.500 0.451
Dy 0.443 0.000 0.365
Dy 0.557 0.000 0.635
CELL_PARAMETERS angstrom
9.156 0.000 0.000
0.000 3.587 0.000
-0.946 0.000 12.012
```

=====

The most stable arrangement is arrangement x, and the next structure is 13 meV per atom less stable.

=====

Arrangement w

Here is La6Pr2Dy after structural relaxation from Alexandria via LeMat-Bulk. Energies are from PBE. Values from VASP.

The value obtained for the density of states at the Fermi level is 1.6224 states/eV/atom. As for the total magnetization: 0.00 μB/cell. As for the symmetry: Cmmm, No. 65.

The structure in Quantum ESPRESSO input format:
```
&SYSTEM
  ibrav = 0, nat = 9, ntyp = 3
/
ATOMIC_SPECIES
La 138.91 La.upf
Pr 140.91 Pr.upf
Dy 162.50 Dy.upf
ATOMIC_POSITIONS crystal
La 0.008 0.335 0.000
La 0.180 0.180 0.500
La 0.335 0.008 0.000
La 0.665 0.992 0.000
La 0.820 0.820 0.500
La 0.992 0.665 0.000
Pr 0.327 0.673 0.500
Pr 0.673 0.327 0.500
Dy 0.500 0.500 0.000
CELL_PARAMETERS angstrom
4.816 -9.105 0.000
4.816 9.105 0.000
0.000 0.000 3.706
```

=====

Arrangement x

Here is La6Pr2Dy after structural relaxation from Alexandria via LeMat-Bulk. Energies are from PBE. Values from VASP.

The value obtained for the density of states at the Fermi level is 1.8691 states/eV/atom. As for the total magnetization: 0.00 μB/cell. As for the symmetry: P-6m2, No. 187.

The structure in Quantum ESPRESSO input format:
```
&SYSTEM
  ibrav = 0, nat = 9, ntyp = 3
/
ATOMIC_SPECIES
La 138.91 La.upf
Pr 140.91 Pr.upf
Dy 162.50 Dy.upf
ATOMIC_POSITIONS crystal
La 0.000 0.000 0.061
La 0.000 0.000 0.282
La 0.000 0.000 0.718
La 0.000 0.000 0.939
La 0.333 0.667 0.395
La 0.333 0.667 0.605
Pr 0.333 0.667 0.170
Pr 0.333 0.667 0.830
Dy 0.000 0.000 0.500
CELL_PARAMETERS angstrom
3.691 0.000 0.000
-1.845 3.196 0.000
0.000 0.000 27.781
```

=====

The most stable arrangement is arrangement x, and the next structure is 59 meV per atom less stable.

=====

Arrangement w

Here is La2Pr2Dy5 after structural relaxation from Alexandria via LeMat-Bulk. Energies are from PBE. Values from VASP.

The value obtained for the density of states at the Fermi level is 1.6627 states/eV/atom. As for the total magnetization: 0.00 μB/cell. As for the symmetry: Ima2, No. 46.

The structure in Quantum ESPRESSO input format:
```
&SYSTEM
  ibrav = 0, nat = 18, ntyp = 3
/
ATOMIC_SPECIES
La 138.91 La.upf
Pr 140.91 Pr.upf
Dy 162.50 Dy.upf
ATOMIC_POSITIONS crystal
La 0.002 0.127 0.129
La 0.002 0.373 0.375
La 0.998 0.627 0.625
La 0.998 0.873 0.871
Pr 0.460 0.460 0.000
Pr 0.460 0.960 0.500
Pr 0.534 0.290 0.744
Pr 0.546 0.790 0.256
Dy 0.090 0.602 0.988
Dy 0.098 0.187 0.626
Dy 0.098 0.972 0.411
Dy 0.396 0.088 0.201
Dy 0.396 0.695 0.808
Dy 0.561 0.472 0.374
Dy 0.561 0.687 0.589
Dy 0.613 0.102 0.012
Dy 0.887 0.195 0.799
Dy 0.887 0.588 0.192
CELL_PARAMETERS angstrom
-7.557 6.038 3.394
7.557 -6.038 3.394
7.557 6.038 -3.394
```

=====

Arrangement x

Here is La2Pr2Dy5 after structural relaxation from Alexandria via LeMat-Bulk. Energies are from PBE. Values from VASP.

The value obtained for the density of states at the Fermi level is 1.7018 states/eV/atom. As for the total magnetization: 0.00 μB/cell. As for the symmetry: C2/m, No. 12.

The structure in Quantum ESPRESSO input format:
```
&SYSTEM
  ibrav = 0, nat = 9, ntyp = 3
/
ATOMIC_SPECIES
La 138.91 La.upf
Pr 140.91 Pr.upf
Dy 162.50 Dy.upf
ATOMIC_POSITIONS crystal
La 0.165 0.165 0.220
La 0.835 0.835 0.780
Pr 0.495 0.495 0.312
Pr 0.505 0.505 0.688
Dy 0.000 0.000 0.000
Dy 0.173 0.173 0.865
Dy 0.329 0.329 0.459
Dy 0.671 0.671 0.541
Dy 0.827 0.827 0.135
CELL_PARAMETERS angstrom
8.922 -1.756 0.000
8.922 1.756 0.000
-1.500 0.000 9.824
```

=====

The most stable arrangement is arrangement x, and the next structure is 49 meV per atom less stable.

=====

Arrangement w

Here is La3Pr2Dy3 after structural relaxation from Alexandria via LeMat-Bulk. Energies are from PBE. Values from VASP.

The value obtained for the density of states at the Fermi level is 1.7215 states/eV/atom. As for the total magnetization: 0.00 μB/cell. As for the symmetry: Immm, No. 71.

The structure in Quantum ESPRESSO input format:
```
&SYSTEM
  ibrav = 0, nat = 8, ntyp = 3
/
ATOMIC_SPECIES
La 138.91 La.upf
Pr 140.91 Pr.upf
Dy 162.50 Dy.upf
ATOMIC_POSITIONS crystal
La 0.000 0.000 0.000
La 0.378 0.878 0.500
La 0.622 0.122 0.500
Pr 0.249 0.249 0.000
Pr 0.751 0.751 0.000
Dy 0.125 0.625 0.500
Dy 0.500 0.500 0.000
Dy 0.875 0.375 0.500
CELL_PARAMETERS angstrom
-2.563 2.599 10.422
2.563 -2.599 10.422
2.563 2.599 -10.422
```

=====

Arrangement x

Here is La3Pr2Dy3 after structural relaxation from Alexandria via LeMat-Bulk. Energies are from PBE. Values from VASP.

The value obtained for the density of states at the Fermi level is 1.5943 states/eV/atom. As for the total magnetization: 0.00 μB/cell. As for the symmetry: C2/m, No. 12.

The structure in Quantum ESPRESSO input format:
```
&SYSTEM
  ibrav = 0, nat = 8, ntyp = 3
/
ATOMIC_SPECIES
La 138.91 La.upf
Pr 140.91 Pr.upf
Dy 162.50 Dy.upf
ATOMIC_POSITIONS crystal
La 0.000 0.000 0.000
La 0.135 0.135 0.694
La 0.865 0.865 0.306
Pr 0.251 0.251 0.317
Pr 0.749 0.749 0.683
Dy 0.372 0.372 0.918
Dy 0.500 0.500 0.500
Dy 0.628 0.628 0.082
CELL_PARAMETERS angstrom
8.265 -2.970 0.000
8.265 2.970 0.000
-2.235 0.000 5.716
```

=====

The most stable arrangement is arrangement w, and the next structure is 67 meV per atom less stable.

=====

Arrangement w

Here is La2Pr5Dy2 after structural relaxation from Alexandria via LeMat-Bulk. Energies are from PBE. Values from VASP.

The value obtained for the density of states at the Fermi level is 1.6956 states/eV/atom. As for the total magnetization: 0.00 μB/cell. As for the symmetry: C2/m, No. 12.

The structure in Quantum ESPRESSO input format:
```
&SYSTEM
  ibrav = 0, nat = 9, ntyp = 3
/
ATOMIC_SPECIES
La 138.91 La.upf
Pr 140.91 Pr.upf
Dy 162.50 Dy.upf
ATOMIC_POSITIONS crystal
La 0.167 0.167 0.499
La 0.833 0.833 0.501
Pr 0.058 0.058 0.835
Pr 0.387 0.387 0.835
Pr 0.500 0.500 0.500
Pr 0.613 0.613 0.165
Pr 0.942 0.942 0.165
Dy 0.277 0.277 0.163
Dy 0.723 0.723 0.837
CELL_PARAMETERS angstrom
7.809 -2.612 0.000
7.809 2.612 0.000
-2.597 0.000 7.806
```

=====

Arrangement x

Here is La2Pr5Dy2 after structural relaxation from Alexandria via LeMat-Bulk. Energies are from PBE. Values from VASP.

The value obtained for the density of states at the Fermi level is 1.5487 states/eV/atom. As for the total magnetization: 0.00 μB/cell. As for the symmetry: Ima2, No. 46.

The structure in Quantum ESPRESSO input format:
```
&SYSTEM
  ibrav = 0, nat = 18, ntyp = 3
/
ATOMIC_SPECIES
La 138.91 La.upf
Pr 140.91 Pr.upf
Dy 162.50 Dy.upf
ATOMIC_POSITIONS crystal
La 0.004 0.126 0.129
La 0.004 0.374 0.378
La 0.996 0.626 0.622
La 0.996 0.874 0.871
Pr 0.100 0.403 0.804
Pr 0.100 0.796 0.197
Pr 0.388 0.898 0.990
Pr 0.449 0.326 0.409
Pr 0.449 0.540 0.623
Pr 0.600 0.296 0.196
Pr 0.600 0.903 0.803
Pr 0.907 0.398 0.010
Pr 0.916 0.040 0.591
Pr 0.916 0.826 0.377
Dy 0.454 0.212 0.742
Dy 0.469 0.712 0.258
Dy 0.529 0.029 0.500
Dy 0.529 0.529 0.000
CELL_PARAMETERS angstrom
-7.604 6.057 3.489
7.604 -6.057 3.489
7.604 6.057 -3.489
```

=====

The most stable arrangement is arrangement w, and the next structure is 169 meV per atom less stable.

=====

Arrangement w

Here is LaPr5Dy4 after structural relaxation from Alexandria via LeMat-Bulk. Energies are from PBE. Values from VASP.

The value obtained for the density of states at the Fermi level is 1.4974 states/eV/atom. As for the total magnetization: 0.00 μB/cell. As for the symmetry: P4/mmm, No. 123.

The structure in Quantum ESPRESSO input format:
```
&SYSTEM
  ibrav = 0, nat = 10, ntyp = 3
/
ATOMIC_SPECIES
La 138.91 La.upf
Pr 140.91 Pr.upf
Dy 162.50 Dy.upf
ATOMIC_POSITIONS crystal
La 0.000 0.000 0.000
Pr 0.500 0.500 0.105
Pr 0.500 0.500 0.303
Pr 0.500 0.500 0.500
Pr 0.500 0.500 0.697
Pr 0.500 0.500 0.895
Dy 0.000 0.000 0.204
Dy 0.000 0.000 0.401
Dy 0.000 0.000 0.599
Dy 0.000 0.000 0.796
CELL_PARAMETERS angstrom
3.668 0.000 0.000
0.000 3.668 0.000
0.000 0.000 25.589
```

=====

Arrangement x

Here is LaPr5Dy4 after structural relaxation from Alexandria via LeMat-Bulk. Energies are from PBE. Values from VASP.

The value obtained for the density of states at the Fermi level is 1.3932 states/eV/atom. As for the total magnetization: 0.00 μB/cell. As for the symmetry: C2/m, No. 12.

The structure in Quantum ESPRESSO input format:
```
&SYSTEM
  ibrav = 0, nat = 10, ntyp = 3
/
ATOMIC_SPECIES
La 138.91 La.upf
Pr 140.91 Pr.upf
Dy 162.50 Dy.upf
ATOMIC_POSITIONS crystal
La 0.000 0.000 0.000
Pr 0.000 0.000 0.500
Pr 0.141 0.141 0.768
Pr 0.200 0.200 0.367
Pr 0.800 0.800 0.633
Pr 0.859 0.859 0.232
Dy 0.323 0.323 0.939
Dy 0.463 0.463 0.746
Dy 0.537 0.537 0.254
Dy 0.677 0.677 0.061
CELL_PARAMETERS angstrom
8.674 -1.827 0.000
8.674 1.827 0.000
-0.930 0.000 11.201
```

=====

The most stable arrangement is arrangement w, and the next structure is 103 meV per atom less stable.

=====

Arrangement w

Here is La2Pr5Dy4 after structural relaxation from Alexandria via LeMat-Bulk. Energies are from PBE. Values from VASP.

The value obtained for the density of states at the Fermi level is 1.6244 states/eV/atom. As for the total magnetization: 0.00 μB/cell. As for the symmetry: C2/m, No. 12.

The structure in Quantum ESPRESSO input format:
```
&SYSTEM
  ibrav = 0, nat = 11, ntyp = 3
/
ATOMIC_SPECIES
La 138.91 La.upf
Pr 140.91 Pr.upf
Dy 162.50 Dy.upf
ATOMIC_POSITIONS crystal
La 0.179 0.179 0.298
La 0.821 0.821 0.702
Pr 0.000 0.000 0.000
Pr 0.334 0.334 0.987
Pr 0.391 0.391 0.482
Pr 0.609 0.609 0.518
Pr 0.666 0.666 0.013
Dy 0.169 0.169 0.769
Dy 0.495 0.495 0.248
Dy 0.505 0.505 0.752
Dy 0.831 0.831 0.231
CELL_PARAMETERS angstrom
9.197 -1.814 0.000
9.197 1.814 0.000
-3.693 0.000 11.771
```

=====

Arrangement x

Here is La2Pr5Dy4 after structural relaxation from Alexandria via LeMat-Bulk. Energies are from PBE. Values from VASP.

The value obtained for the density of states at the Fermi level is 1.4706 states/eV/atom. As for the total magnetization: 0.00 μB/cell. As for the symmetry: Immm, No. 71.

The structure in Quantum ESPRESSO input format:
```
&SYSTEM
  ibrav = 0, nat = 11, ntyp = 3
/
ATOMIC_SPECIES
La 138.91 La.upf
Pr 140.91 Pr.upf
Dy 162.50 Dy.upf
ATOMIC_POSITIONS crystal
La 0.233 0.233 0.000
La 0.767 0.767 0.000
Pr 0.162 0.358 0.804
Pr 0.446 0.642 0.804
Pr 0.500 0.000 0.500
Pr 0.554 0.358 0.196
Pr 0.838 0.642 0.196
Dy 0.097 0.097 0.000
Dy 0.185 0.500 0.685
Dy 0.815 0.500 0.315
Dy 0.903 0.903 0.000
CELL_PARAMETERS angstrom
-1.785 4.659 11.928
1.785 -4.659 11.928
1.785 4.659 -11.928
```

=====

The most stable arrangement is arrangement w, and the next structure is 27 meV per atom less stable.

=====

Arrangement w

Here is La2Pr3Dy6 after structural relaxation from Alexandria via LeMat-Bulk. Energies are from PBE. Values from VASP.

The value obtained for the density of states at the Fermi level is 1.4402 states/eV/atom. As for the total magnetization: 0.00 μB/cell. As for the symmetry: C2/m, No. 12.

The structure in Quantum ESPRESSO input format:
```
&SYSTEM
  ibrav = 0, nat = 11, ntyp = 3
/
ATOMIC_SPECIES
La 138.91 La.upf
Pr 140.91 Pr.upf
Dy 162.50 Dy.upf
ATOMIC_POSITIONS crystal
La 0.167 0.833 0.000
La 0.833 0.167 0.000
Pr 0.000 0.000 0.500
Pr 0.336 0.664 0.500
Pr 0.664 0.336 0.500
Dy 0.083 0.416 0.749
Dy 0.251 0.251 0.251
Dy 0.416 0.083 0.749
Dy 0.584 0.917 0.251
Dy 0.749 0.749 0.749
Dy 0.917 0.584 0.251
CELL_PARAMETERS angstrom
3.112 -5.401 0.000
3.112 5.401 0.000
-2.080 0.000 11.654
```

=====

Arrangement x

Here is La2Pr3Dy6 after structural relaxation from Alexandria via LeMat-Bulk. Energies are from PBE. Values from VASP.

The value obtained for the density of states at the Fermi level is 1.4634 states/eV/atom. As for the total magnetization: 0.00 μB/cell. As for the symmetry: I4/mmm, No. 139.

The structure in Quantum ESPRESSO input format:
```
&SYSTEM
  ibrav = 0, nat = 11, ntyp = 3
/
ATOMIC_SPECIES
La 138.91 La.upf
Pr 140.91 Pr.upf
Dy 162.50 Dy.upf
ATOMIC_POSITIONS crystal
La 0.046 0.046 0.000
La 0.954 0.954 0.000
Pr 0.295 0.295 0.000
Pr 0.500 0.500 0.000
Pr 0.705 0.705 0.000
Dy 0.121 0.621 0.500
Dy 0.192 0.192 0.000
Dy 0.379 0.879 0.500
Dy 0.621 0.121 0.500
Dy 0.808 0.808 0.000
Dy 0.879 0.379 0.500
CELL_PARAMETERS angstrom
-2.417 2.417 16.744
2.417 -2.417 16.744
2.417 2.417 -16.744
```

=====

The most stable arrangement is arrangement w, and the next structure is 64 meV per atom less stable.